VASP calculation (GGA+U) on Ba3NpFe2O8 after structural relaxation.

Structure (CIF):
```
data_Ba3NpFe2O8
_cell_length_a 6.0426
_cell_length_b 6.0426
_cell_length_c 7.6718
_cell_angle_alpha 90.00
_cell_angle_beta 90.00
_cell_angle_gamma 120.00
_space_group_name_H-M_alt 'P -3 m 1'
_space_group_IT_number 164
_space_group_name_Hall '-P 3 2"'
loop_
_atom_site_label
_atom_site_fract_x
_atom_site_fract_y
_atom_site_fract_z
Ba1 0.0000 0.0000 0.0000
Ba2 0.3333 0.6667 0.6615
Np1 0.0000 0.0000 0.5000
Fe1 0.3333 0.6667 0.2143
O1 0.1666 0.3332 0.3257
O2 0.3333 0.6667 0.9780
```

Calculated values
Spin magnetization = 7.00 μB per cell
Total DFT energy (no corrections) = -7.3062 eV per atom